Compound: TmSc2S3
Source: Alexandria
Functional: PBE
Structure: optimized geometry Values from VASP.

## Properties
E_tot ... -6.112 eV per atom
Total moment ... 0.00 μB/cell
Energy relative to the elements, uncorrected ... -1.19 eV/atom

Geometry as Quantum ESPRESSO input:
```
&SYSTEM
  ibrav = 0, nat = 12, ntyp = 3
/
ATOMIC_SPECIES
Tm 168.93 Tm.upf
Sc 44.96 Sc.upf
S 32.06 S.upf
CELL_PARAMETERS angstrom
5.087 -4.703 0.000
5.087 4.703 0.000
0.000 0.000 6.169
ATOMIC_POSITIONS angstrom
Tm 5.087 3.455 4.627
Tm 5.087 -3.455 1.542
Sc 3.514 0.000 0.000
Sc 3.514 0.000 3.084
Sc 6.659 0.000 0.000
Sc 6.659 0.000 3.084
S 1.663 0.778 4.627
S 1.663 -0.778 1.542
S 5.087 1.161 1.542
S 5.087 -1.161 4.627
S 8.510 0.778 4.627
S 8.510 -0.778 1.542
```



Compound: Tb2NdTm2
Source: Alexandria
Functional: PBE
Structure: optimized geometry Values from VASP.

## Properties
E_tot ... -4.509 eV per atom
Total moment ... 0.00 μB/cell
Formation enthalpy at 0 K ... 0.09 eV per atom

Geometry as Quantum ESPRESSO input:
```
&SYSTEM
  ibrav = 0, nat = 10, ntyp = 3
/
ATOMIC_SPECIES
Tb 158.93 Tb.upf
Nd 144.24 Nd.upf
Tm 168.93 Tm.upf
CELL_PARAMETERS angstrom
9.449 0.000 0.000
0.000 9.449 0.000
0.000 0.000 3.645
ATOMIC_POSITIONS angstrom
Tb 1.644 3.080 0.000
Tb 3.080 7.805 0.000
Tb 6.369 1.644 0.000
Tb 7.805 6.369 0.000
Nd 0.000 0.000 1.823
Nd 4.724 4.724 1.823
Tm 1.159 5.883 1.823
Tm 3.566 1.159 1.823
Tm 5.883 8.290 1.823
Tm 8.290 3.566 1.823
```



Compound: GeHF6
Source: Alexandria
Functional: PBE
Structure: optimized geometry Values from VASP.

## Properties
E_tot ... -4.188 eV per atom
Total moment ... 1.05 μB/cell

Geometry as Quantum ESPRESSO input:
```
&SYSTEM
  ibrav = 0, nat = 8, ntyp = 3
/
ATOMIC_SPECIES
Ge 72.64 Ge.upf
H 1.01 H.upf
F 19.00 F.upf
CELL_PARAMETERS angstrom
4.876 0.000 0.000
-2.152 4.438 0.000
-0.033 -2.363 4.548
ATOMIC_POSITIONS angstrom
Ge 0.000 0.000 0.000
H -1.093 1.037 2.274
F -0.236 1.129 1.510
F 0.496 -0.973 3.612
F -0.446 3.998 0.600
F 3.136 -1.924 3.947
F 2.193 3.048 0.936
F 2.926 0.946 3.038
```



> What is the total moment in the third record?

1.05 μB/cell



> The lowest E_tot belongs to which entry?

TmSc2S3



> Which of these has the highest total moment?

GeHF6